Material: RbZnS2N
Method: DFT, PBEsol
State: relaxed

Unit cell a=5.9760 b=5.9760 c=5.3756 alpha=90.00 beta=90.00 gamma=90.00
Closest atoms and distances in Å follow each position.
Space group P4/mmm (No. 123)
Asymmetric unit:
Rb 0.0000 0.0000 0.0000 (multiplicity 1)  2 N 2.69, 4 S 2.99
Zn 0.5000 0.5000 0.5000 (multiplicity 1)  8 S 4.02, 4 N 4.23
S 0.0000 0.5000 0.0000 (multiplicity 2)  2 Rb 2.99
N 0.0000 0.0000 0.5000 (multiplicity 1)  2 Rb 2.69

Output
total DFT energy (no corrections)	-2.111	eV per atom
ΔE_f (raw)	43.1	kcal/mol of atoms
total moment	6.0	μB per formula unit

---

Material: Sr3LaCuRuO8
Method: DFT, PBEsol
State: relaxed

Unit cell a=5.5084 b=5.4904 c=12.4567 alpha=90.00 beta=90.00 gamma=90.00
Closest atoms and distances in Å follow each position.
Space group Amm2 (No. 38)
Asymmetric unit:
Sr 0.0000 0.0000 0.0000 (multiplicity 2)  5 O 2.46-2.65
Sr 0.0000 0.0000 0.2837 (multiplicity 2)  7 O 2.46-2.76
Sr 0.5000 0.0000 0.4974 (multiplicity 2)  5 O 2.37-2.65
La 0.5000 0.0000 0.7821 (multiplicity 2)  1 O 2.26
Cu 0.5000 0.0000 0.1402 (multiplicity 2)  6 O 1.97-2.20
Ru 0.0000 0.0000 0.6397 (multiplicity 2)  6 O 1.92-2.03
O 0.0000 0.0000 0.4813 (multiplicity 2)  1 Ru 1.97
O 0.0000 0.0000 0.8028 (multiplicity 2)  1 Ru 2.03
O 0.2491 0.2443 0.6433 (multiplicity 8)  1 Ru 1.92, 1 Cu 1.97
O 0.5000 0.0000 0.3071 (multiplicity 2)  1 Cu 2.08
O 0.5000 0.0000 0.9635 (multiplicity 2)  1 Cu 2.20, 1 La 2.26

Output
total DFT energy (no corrections)	-7.028	eV per atom
ΔE_f (raw)	-51.1	kcal/mol of atoms
total moment	4.0	μB per formula unit